# 1
Entry from Alexandria via LeMat-Bulk: an optimized crystal structure of Ac4RuBr2N (PBE-GGA).

a b c (Å): 7.1165 4.1609 8.5169
angles (deg): 90.00 106.19 90.00
Element x y z (fractional)
Ac 0.2237 0.0000 0.1876
Ac 0.2390 0.5000 0.8132
Ac 0.7610 0.5000 0.1868
Ac 0.7763 0.0000 0.8124
Ru 0.5000 0.0000 0.0000
Br 0.0000 0.0000 0.5000
Br 0.5000 0.5000 0.5000
N 0.0000 0.5000 0.0000

Calculated values
SG: P2/m
Spin magnetization: 0.0 Bohr magnetons per cell
Crystal system: monoclinic
Electronic total energy: -45.4 eV/f.u.
Formation energy from raw total energies: -1004 meV per atom

# 2
Entry from Alexandria via LeMat-Bulk: an optimized crystal structure of Mn2CrInN (PBE-GGA).

a b c (Å): 4.0289 4.0289 3.9058
angles (deg): 90.00 90.00 90.00
Element x y z (fractional)
Mn 0.0000 0.5000 0.0000
Mn 0.5000 0.0000 0.0000
Cr 0.0000 0.0000 0.5000
In 0.5000 0.5000 0.5000
N 0.0000 0.0000 0.0000

Calculated values
SG: P4/mmm
Spin magnetization: 5.5 Bohr magnetons per cell
Crystal system: tetragonal
Electronic total energy: -39.6 eV/f.u.
Formation energy from raw total energies: -119 meV per atom

# 3
Entry from Alexandria via LeMat-Bulk: an optimized crystal structure of Tm2FeRh (PBE-GGA).

a b c (Å): 6.6598 6.6598 6.6598
angles (deg): 90.00 90.00 90.00
Element x y z (fractional)
Tm 0.2500 0.2500 0.2500
Tm 0.2500 0.2500 0.7500
Tm 0.2500 0.7500 0.2500
Tm 0.2500 0.7500 0.7500
Tm 0.7500 0.2500 0.2500
Tm 0.7500 0.2500 0.7500
Tm 0.7500 0.7500 0.2500
Tm 0.7500 0.7500 0.7500
Fe 0.0000 0.0000 0.0000
Fe 0.0000 0.5000 0.5000
Fe 0.5000 0.0000 0.5000
Fe 0.5000 0.5000 0.0000
Rh 0.0000 0.0000 0.5000
Rh 0.0000 0.5000 0.0000
Rh 0.5000 0.0000 0.0000
Rh 0.5000 0.5000 0.5000

Calculated values
ΔE_f: -0.39 eV per atom
SG: Fm-3m
Spin magnetization: 1.4 Bohr magnetons per cell
Crystal system: cubic
Electronic total energy: -26.3 eV/f.u.

# 4
Entry from Alexandria via LeMat-Bulk: an optimized crystal structure of Sm7Y2Tl2 (PBE-GGA).

a b c (Å): 11.4291 11.4291 11.4291
angles (deg): 161.48 54.87 128.84
Element x y z (fractional)
Sm 0.0000 0.0000 0.0000
Sm 0.3219 0.6604 0.6615
Sm 0.3340 0.4643 0.8697
Sm 0.5946 0.4643 0.1303
Sm 0.6524 0.2871 0.3653
Sm 0.9218 0.2871 0.6347
Sm 0.9990 0.6604 0.3385
Y 0.3218 0.8218 0.5000
Y 0.6529 0.6529 0.0000
Tl 0.1907 0.9470 0.2437
Tl 0.7033 0.9470 0.7563

Calculated values
ΔE_f: -0.02 eV per atom
SG: Imm2
Spin magnetization: 0.0 Bohr magnetons per cell
Crystal system: orthorhombic
Electronic total energy: -51.0 eV/f.u.

V per entry: 242.2, 63.4, 295.4, 368.2 Å³ per cell